The following is a DFT calculation (PBE) of NiTeIr2 after structural relaxation.

CIF file:
```
data_NiTeIr2
_chemical_formula_sum 'Ni1 Te1 Ir2'
_symmetry_space_group_name_H-M 'P 1'
_symmetry_Int_Tables_number 1
_cell_length_a 2.894
_cell_length_b 4.670
_cell_length_c 4.696
_cell_angle_alpha 90.00
_cell_angle_beta 90.00
_cell_angle_gamma 90.00
loop_
_symmetry_equiv_pos_as_xyz
'x,y,z'
loop_
_atom_site_label
_atom_site_type_symbol
_atom_site_fract_x
_atom_site_fract_y
_atom_site_fract_z
_atom_site_occupancy
Ni1 Ni 0.000 0.000 0.000 1
Te1 Te 0.500 0.000 0.500 1
Ir1 Ir 0.000 0.500 0.500 1
Ir2 Ir 0.500 0.500 0.000 1
```

Summary:
For the volume, the calculation gives 63.5 Å³/f.u. Its polymorph energy (0 for the lowest one) is 0.161 eV per atom. As for the total DFT energy (no corrections): -6.200 eV per atom. Its formation energy (no corrections) is 0.4608 eV/atom. As for the density of states at the Fermi level: 5.01 states/eV/cell.